(1)
First-principles (PBEsol) data for ZnP2W after structural relaxation, as listed in the Alexandria database.

Calculated values
Its total energy is -27.4 eV/cell. For the mass density, the calculation gives 9.0 g/cm³.

Lattice parameters (Å, degrees): 3.092 3.102 6.034 98.57 90.00 90.00
Positions (direct):
P1 0.000 0.061 0.722
P2 0.000 0.939 0.278
W1 0.500 0.500 0.500
Zn1 0.500 0.500 0.000



(2)
First-principles (PBEsol) data for BeZnTeN2 after structural relaxation, as listed in the Alexandria database.

Calculated values
Its total energy is -20.5 eV/cell. For the mass density, the calculation gives 5.5 g/cm³. The calculation puts the formation energy (no corrections) at 1.125 eV/atom.

Lattice parameters (Å, degrees): 3.586 3.586 5.392 90.00 90.00 90.00
Positions (direct):
Be1 0.000 0.000 0.000
Zn1 0.500 0.500 0.500
Te1 0.000 0.000 0.500
N1 0.000 0.500 0.000
N2 0.500 0.000 0.000



(3)
First-principles (PBEsol) data for Na6MnNi3Sb2O12 after structural relaxation, as listed in the Alexandria database.

Calculated values
Its total energy is -142.0 eV/cell. For the mass density, the calculation gives 5.1 g/cm³. The calculation puts the formation energy (no corrections) at -1.385 eV/atom.

Lattice parameters (Å, degrees): 5.337 5.614 9.249 90.00 90.00 108.34
Positions (direct):
Na1 0.500 0.500 0.003
Na2 0.000 0.500 0.175
Na3 0.000 0.500 0.827
Na4 0.000 0.500 0.496
Na5 0.500 0.500 0.676
Na6 0.500 0.500 0.323
Mn1 0.000 0.000 0.666
Ni1 0.500 0.000 0.834
Ni2 0.500 0.000 0.166
Ni3 0.000 0.000 0.333
Sb1 0.000 0.000 0.003
Sb2 0.500 0.000 0.497
O1 0.769 0.791 0.846
O2 0.745 0.202 0.000
O3 0.255 0.798 0.000
O4 0.772 0.798 0.163
O5 0.231 0.209 0.846
O6 0.228 0.202 0.163
O7 0.269 0.799 0.337
O8 0.254 0.209 0.495
O9 0.746 0.791 0.495
O10 0.278 0.792 0.658
O11 0.731 0.201 0.337
O12 0.722 0.208 0.658



(4)
First-principles (PBEsol) data for TaAsPt2 after structural relaxation, as listed in the Alexandria database.

Calculated values
Its total energy is -33.1 eV/cell. For the mass density, the calculation gives 16.6 g/cm³.

Lattice parameters (Å, degrees): 2.868 2.868 7.877 90.00 90.00 90.00
Positions (direct):
As1 0.500 0.500 0.500
Pt1 0.000 0.000 0.762
Pt2 0.000 0.000 0.238
Ta1 0.500 0.500 0.000



(5)
First-principles (PBEsol) data for KAl2Se after structural relaxation, as listed in the Alexandria database.

Calculated values
Its total energy is -13.0 eV/cell. For the mass density, the calculation gives 3.2 g/cm³. The calculation puts the formation energy (no corrections) at 0.033 eV/atom.

Lattice parameters (Å, degrees): 3.038 5.221 6.449 113.88 103.63 89.98
Positions (direct):
K1 0.500 0.500 0.000
Al1 0.000 0.000 0.500
Al2 0.500 0.500 0.500
Se1 0.000 0.000 0.000



(6)
First-principles (PBEsol) data for SrTe4Br after structural relaxation, as listed in the Alexandria database.

Calculated values
Its total energy is -20.8 eV/cell. For the mass density, the calculation gives 6.2 g/cm³. The calculation puts the formation energy (no corrections) at -0.494 eV/atom.

Lattice parameters (Å, degrees): 6.344 6.344 6.344 60.00 60.00 60.00
Positions (direct):
Sr1 0.000 0.000 0.000
Te1 0.375 0.375 0.375
Te2 0.375 0.375 0.875
Te3 0.875 0.375 0.375
Te4 0.375 0.875 0.375
Br1 0.750 0.750 0.750